Entry 1:
VASP calculation (meta-GGA SCAN) on a PBEsol-optimized structure of Cd2FePb.

The structure in CIF format:
```
data_Cd2FePb
_cell_length_a 3.069
_cell_length_b 3.069
_cell_length_c 8.639
_cell_angle_alpha 90.00
_cell_angle_beta 90.00
_cell_angle_gamma 90.00
_symmetry_space_group_name_H-M 'P 1'
_symmetry_Int_Tables_number 1
loop_
_symmetry_equiv_pos_as_xyz
'x,y,z'
loop_
_atom_site_label
_atom_site_fract_x
_atom_site_fract_y
_atom_site_fract_z
Pb1 0.500 0.500 0.500
Fe1 0.500 0.500 0.000
Cd1 0.000 0.000 0.198
Cd2 0.000 0.000 0.802
```

Computed properties:
- space group = P4/mmm, No. 123
- mass density (g/cm³) = 9.96



Entry 2:
VASP calculation (meta-GGA SCAN) on a PBEsol-optimized structure of CdFe2Pb.

The structure in CIF format:
```
data_CdFe2Pb
_cell_length_a 3.970
_cell_length_b 3.970
_cell_length_c 5.056
_cell_angle_alpha 113.12
_cell_angle_beta 113.12
_cell_angle_gamma 90.00
_symmetry_space_group_name_H-M 'P 1'
_symmetry_Int_Tables_number 1
loop_
_symmetry_equiv_pos_as_xyz
'x,y,z'
loop_
_atom_site_label
_atom_site_fract_x
_atom_site_fract_y
_atom_site_fract_z
Fe1 0.750 0.250 0.500
Fe2 0.000 0.000 0.000
Cd1 0.250 0.750 0.500
Pb1 0.500 0.500 0.000
```

Computed properties:
- polymorph energy (0 for the lowest one) (meV per atom) = 53.8
- space group = I-4m2, No. 119
- mass density (g/cm³) = 10.81



Entry 3:
VASP calculation (meta-GGA SCAN) on a PBEsol-optimized structure of CdFe2Pb.

The structure in CIF format:
```
data_CdFe2Pb
_cell_length_a 3.938
_cell_length_b 4.113
_cell_length_c 4.113
_cell_angle_alpha 90.00
_cell_angle_beta 90.00
_cell_angle_gamma 90.00
_symmetry_space_group_name_H-M 'P 1'
_symmetry_Int_Tables_number 1
loop_
_symmetry_equiv_pos_as_xyz
'x,y,z'
loop_
_atom_site_label
_atom_site_fract_x
_atom_site_fract_y
_atom_site_fract_z
Pb1 0.500 0.500 0.500
Fe1 0.000 0.500 0.000
Fe2 0.000 0.000 0.500
Cd1 0.500 0.000 0.000
```

Computed properties:
- polymorph energy (0 for the lowest one) (meV per atom) = 0.0
- space group = P4/mmm, No. 123
- mass density (g/cm³) = 10.75



Entry 4:
VASP calculation (meta-GGA SCAN) on a PBEsol-optimized structure of CdFe2Pd2.

The structure in CIF format:
```
data_CdFe2Pd2
_cell_length_a 3.340
_cell_length_b 3.340
_cell_length_c 7.175
_cell_angle_alpha 103.46
_cell_angle_beta 103.46
_cell_angle_gamma 90.00
_symmetry_space_group_name_H-M 'P 1'
_symmetry_Int_Tables_number 1
loop_
_symmetry_equiv_pos_as_xyz
'x,y,z'
loop_
_atom_site_label
_atom_site_fract_x
_atom_site_fract_y
_atom_site_fract_z
Pd1 0.606 0.606 0.212
Pd2 0.394 0.394 0.788
Fe1 0.250 0.750 0.500
Fe2 0.750 0.250 0.500
Cd1 0.000 0.000 0.000
```

Computed properties:
- space group = I4/mmm, No. 139
- mass density (g/cm³) = 9.60



Entry 5:
VASP calculation (meta-GGA SCAN) on a PBEsol-optimized structure of SrCdFePd2.

The structure in CIF format:
```
data_SrCdFePd2
_cell_length_a 4.730
_cell_length_b 4.730
_cell_length_c 4.877
_cell_angle_alpha 90.00
_cell_angle_beta 90.00
_cell_angle_gamma 90.00
_symmetry_space_group_name_H-M 'P 1'
_symmetry_Int_Tables_number 1
loop_
_symmetry_equiv_pos_as_xyz
'x,y,z'
loop_
_atom_site_label
_atom_site_fract_x
_atom_site_fract_y
_atom_site_fract_z
Fe1 0.000 0.000 0.000
Cd1 0.000 0.000 0.500
Pd1 0.000 0.500 0.000
Pd2 0.500 0.000 0.000
Sr1 0.500 0.500 0.500
```

Computed properties:
- space group = P4/mmm, No. 123
- mass density (g/cm³) = 7.13



Entry 6:
VASP calculation (meta-GGA SCAN) on a PBEsol-optimized structure of CdFePt.

The structure in CIF format:
```
data_CdFePt
_cell_length_a 2.801
_cell_length_b 2.801
_cell_length_c 6.713
_cell_angle_alpha 90.00
_cell_angle_beta 90.00
_cell_angle_gamma 120.00
_symmetry_space_group_name_H-M 'P 1'
_symmetry_Int_Tables_number 1
loop_
_symmetry_equiv_pos_as_xyz
'x,y,z'
loop_
_atom_site_label
_atom_site_fract_x
_atom_site_fract_y
_atom_site_fract_z
Fe1 0.667 0.333 0.653
Pt1 0.333 0.667 0.354
Cd1 0.000 0.000 0.993
```

Computed properties:
- space group = P3m1, No. 156
- mass density (g/cm³) = 13.23



Entry 7:
VASP calculation (meta-GGA SCAN) on a PBEsol-optimized structure of Cd3FePt.

The structure in CIF format:
```
data_Cd3FePt
_cell_length_a 5.057
_cell_length_b 5.057
_cell_length_c 5.057
_cell_angle_alpha 90.00
_cell_angle_beta 90.00
_cell_angle_gamma 90.00
_symmetry_space_group_name_H-M 'P 1'
_symmetry_Int_Tables_number 1
loop_
_symmetry_equiv_pos_as_xyz
'x,y,z'
loop_
_atom_site_label
_atom_site_fract_x
_atom_site_fract_y
_atom_site_fract_z
Cd1 0.500 0.000 0.000
Cd2 0.000 0.000 0.500
Cd3 0.000 0.500 0.000
Pt1 0.000 0.000 0.000
Fe1 0.500 0.500 0.500
```

Computed properties:
- space group = Pm-3m, No. 221
- mass density (g/cm³) = 7.55



Entry 8:
VASP calculation (meta-GGA SCAN) on a PBEsol-optimized structure of RbCdFeRh2.

The structure in CIF format:
```
data_RbCdFeRh2
_cell_length_a 4.935
_cell_length_b 4.935
_cell_length_c 5.458
_cell_angle_alpha 90.00
_cell_angle_beta 90.00
_cell_angle_gamma 90.00
_symmetry_space_group_name_H-M 'P 1'
_symmetry_Int_Tables_number 1
loop_
_symmetry_equiv_pos_as_xyz
'x,y,z'
loop_
_atom_site_label
_atom_site_fract_x
_atom_site_fract_y
_atom_site_fract_z
Fe1 0.500 0.500 0.500
Rb1 0.000 0.000 0.500
Rh1 0.000 0.500 0.000
Rh2 0.500 0.000 0.000
Cd1 0.000 0.000 0.000
```

Computed properties:
- space group = P4/mmm, No. 123
- mass density (g/cm³) = 5.74



Entry 9:
VASP calculation (meta-GGA SCAN) on a PBEsol-optimized structure of Cd2FeRe.

The structure in CIF format:
```
data_Cd2FeRe
_cell_length_a 2.674
_cell_length_b 5.211
_cell_length_c 5.380
_cell_angle_alpha 116.35
_cell_angle_beta 99.78
_cell_angle_gamma 99.35
_symmetry_space_group_name_H-M 'P 1'
_symmetry_Int_Tables_number 1
loop_
_symmetry_equiv_pos_as_xyz
'x,y,z'
loop_
_atom_site_label
_atom_site_fract_x
_atom_site_fract_y
_atom_site_fract_z
Cd1 0.500 0.500 0.500
Cd2 0.000 0.000 0.500
Fe1 0.500 0.000 0.000
Re1 0.000 0.500 0.000
```

Computed properties:
- space group = C2/m, No. 12
- mass density (g/cm³) = 12.16



Entry 10:
VASP calculation (meta-GGA SCAN) on a PBEsol-optimized structure of CdFeRe2.

The structure in CIF format:
```
data_CdFeRe2
_cell_length_a 2.726
_cell_length_b 2.726
_cell_length_c 7.787
_cell_angle_alpha 90.00
_cell_angle_beta 90.00
_cell_angle_gamma 90.00
_symmetry_space_group_name_H-M 'P 1'
_symmetry_Int_Tables_number 1
loop_
_symmetry_equiv_pos_as_xyz
'x,y,z'
loop_
_atom_site_label
_atom_site_fract_x
_atom_site_fract_y
_atom_site_fract_z
Cd1 0.000 0.000 0.520
Re1 0.000 0.000 0.974
Re2 0.500 0.500 0.231
Fe1 0.500 0.500 0.776
```

Computed properties:
- space group = P4mm, No. 99
- mass density (g/cm³) = 15.51



Entry 11:
VASP calculation (meta-GGA SCAN) on a PBEsol-optimized structure of CdFe2Rh.

The structure in CIF format:
```
data_CdFe2Rh
_cell_length_a 2.945
_cell_length_b 2.945
_cell_length_c 6.370
_cell_angle_alpha 90.00
_cell_angle_beta 90.00
_cell_angle_gamma 90.00
_symmetry_space_group_name_H-M 'P 1'
_symmetry_Int_Tables_number 1
loop_
_symmetry_equiv_pos_as_xyz
'x,y,z'
loop_
_atom_site_label
_atom_site_fract_x
_atom_site_fract_y
_atom_site_fract_z
Rh1 0.000 0.000 0.464
Fe1 0.000 0.000 0.039
Fe2 0.500 0.500 0.239
Cd1 0.500 0.500 0.758
```

Computed properties:
- space group = P4mm, No. 99
- mass density (g/cm³) = 9.83



Entry 12:
VASP calculation (meta-GGA SCAN) on a PBEsol-optimized structure of CdFe3Rh.

The structure in CIF format:
```
data_CdFe3Rh
_cell_length_a 4.536
_cell_length_b 4.536
_cell_length_c 4.536
_cell_angle_alpha 90.00
_cell_angle_beta 90.00
_cell_angle_gamma 90.00
_symmetry_space_group_name_H-M 'P 1'
_symmetry_Int_Tables_number 1
loop_
_symmetry_equiv_pos_as_xyz
'x,y,z'
loop_
_atom_site_label
_atom_site_fract_x
_atom_site_fract_y
_atom_site_fract_z
Fe1 0.000 0.000 0.500
Fe2 0.500 0.000 0.000
Fe3 0.000 0.500 0.000
Rh1 0.000 0.000 0.000
Cd1 0.500 0.500 0.500
```

Computed properties:
- space group = Pm-3m, No. 221
- mass density (g/cm³) = 6.81



Entry 13:
VASP calculation (meta-GGA SCAN) on a PBEsol-optimized structure of CdFe2Rh.

The structure in CIF format:
```
data_CdFe2Rh
_cell_length_a 3.844
_cell_length_b 3.844
_cell_length_c 4.624
_cell_angle_alpha 114.56
_cell_angle_beta 114.56
_cell_angle_gamma 90.00
_symmetry_space_group_name_H-M 'P 1'
_symmetry_Int_Tables_number 1
loop_
_symmetry_equiv_pos_as_xyz
'x,y,z'
loop_
_atom_site_label
_atom_site_fract_x
_atom_site_fract_y
_atom_site_fract_z
Fe1 0.750 0.250 0.500
Fe2 0.000 0.000 0.000
Cd1 0.250 0.750 0.500
Rh1 0.500 0.500 0.000
```

Computed properties:
- space group = I-4m2, No. 119
- mass density (g/cm³) = 9.82



Entry 14:
VASP calculation (meta-GGA SCAN) on a PBEsol-optimized structure of CdFeRh2.

The structure in CIF format:
```
data_CdFeRh2
_cell_length_a 2.989
_cell_length_b 2.989
_cell_length_c 6.461
_cell_angle_alpha 90.00
_cell_angle_beta 90.00
_cell_angle_gamma 90.00
_symmetry_space_group_name_H-M 'P 1'
_symmetry_Int_Tables_number 1
loop_
_symmetry_equiv_pos_as_xyz
'x,y,z'
loop_
_atom_site_label
_atom_site_fract_x
_atom_site_fract_y
_atom_site_fract_z
Cd1 0.500 0.500 0.000
Rh1 0.000 0.000 0.282
Rh2 0.000 0.000 0.718
Fe1 0.500 0.500 0.500
```

Computed properties:
- space group = P4/mmm, No. 123
- mass density (g/cm³) = 10.76



Entry 15:
VASP calculation (meta-GGA SCAN) on a PBEsol-optimized structure of CdFeRh3.

The structure in CIF format:
```
data_CdFeRh3
_cell_length_a 4.720
_cell_length_b 4.720
_cell_length_c 4.720
_cell_angle_alpha 90.00
_cell_angle_beta 90.00
_cell_angle_gamma 90.00
_symmetry_space_group_name_H-M 'P 1'
_symmetry_Int_Tables_number 1
loop_
_symmetry_equiv_pos_as_xyz
'x,y,z'
loop_
_atom_site_label
_atom_site_fract_x
_atom_site_fract_y
_atom_site_fract_z
Rh1 0.000 0.500 0.000
Rh2 0.000 0.000 0.500
Rh3 0.500 0.000 0.000
Cd1 0.000 0.000 0.000
Fe1 0.500 0.500 0.500
```

Computed properties:
- space group = Pm-3m, No. 221
- mass density (g/cm³) = 7.53



Number 1: calculated formation energy 260 meV per atom, total energy -153.70 eV/cell. Number 2: calculated formation energy 506 meV per atom, total energy -140.43 eV/cell. Number 3: calculated formation energy 452 meV per atom, total energy -140.65 eV/cell. Number 4: calculated formation energy 68 meV per atom, total energy -131.88 eV/cell. Number 5: calculated formation energy 43 meV per atom, total energy -136.15 eV/cell. Number 6: calculated formation energy -29 meV per atom, total energy -118.82 eV/cell. Number 7: calculated formation energy 646 meV per atom, total energy -176.33 eV/cell. Number 8: calculated formation energy 1707 meV per atom, total energy -128.29 eV/cell. Number 9: calculated formation energy 503 meV per atom, total energy -148.05 eV/cell. Number 10: calculated formation energy 449 meV per atom, total energy -188.94 eV/cell. Number 11: calculated formation energy -37 meV per atom, total energy -100.59 eV/cell. Number 12: calculated formation energy 956 meV per atom, total energy -113.79 eV/cell. Number 13: calculated formation energy 65 meV per atom, total energy -100.19 eV/cell. Number 14: calculated formation energy -246 meV per atom, total energy -117.07 eV/cell. Number 15: calculated formation energy 1904 meV per atom, total energy -140.34 eV/cell.